! Sr4MoOs | the Alexandria database | GGA-PBEsol | optimized geometry; values from VASP
! Uncorrected energy, eV/atom: -3.3949
! Mass density, g/cm3: 6.2
&SYSTEM
  ibrav = 0, nat = 6, ntyp = 3
/
ATOMIC_SPECIES
Sr 87.62 Sr.upf
Mo 95.94 Mo.upf
Os 190.23 Os.upf
ATOMIC_POSITIONS angstrom
Sr 3.315 3.315 3.315
Sr 5.505 5.505 3.315
Sr 5.505 3.315 5.505
Sr 3.315 5.505 5.505
Mo 0.000 0.000 0.000
Os 6.615 6.615 6.615
CELL_PARAMETERS angstrom
0.000 4.410 4.410
4.410 0.000 4.410
4.410 4.410 0.000

=====

! La2BeBiSe | the Alexandria database | GGA-PBEsol | optimized geometry; values from VASP
! Uncorrected energy, eV/atom: -5.1238
! Mass density, g/cm3: 7.4
! E_form (uncorrected), eV per atom: -0.5582
&SYSTEM
  ibrav = 0, nat = 5, ntyp = 4
/
ATOMIC_SPECIES
La 138.91 La.upf
Be 9.01 Be.upf
Bi 208.98 Bi.upf
Se 78.96 Se.upf
ATOMIC_POSITIONS angstrom
La 0.000 2.780 0.000
La 2.780 0.000 0.000
Be 0.000 0.000 0.000
Bi 2.780 2.780 2.085
Se 0.000 0.000 2.085
CELL_PARAMETERS angstrom
5.561 0.000 0.000
0.000 5.561 0.000
0.000 0.000 4.171

=====

! BeNiSbI2 | the Alexandria database | GGA-PBEsol | optimized geometry; values from VASP
! Uncorrected energy, eV/atom: -2.9073
! Mass density, g/cm3: 5.6
! E_form (uncorrected), eV per atom: 0.7424
&SYSTEM
  ibrav = 0, nat = 5, ntyp = 4
/
ATOMIC_SPECIES
Be 9.01 Be.upf
Ni 58.69 Ni.upf
Sb 121.76 Sb.upf
I 126.90 I.upf
ATOMIC_POSITIONS angstrom
Be 0.000 0.000 0.000
Ni 2.632 2.632 2.392
Sb 2.632 2.632 0.000
I 0.000 2.632 2.392
I 2.632 0.000 2.392
CELL_PARAMETERS angstrom
5.265 0.000 0.000
0.000 5.265 0.000
0.000 0.000 4.784

=====

! Na4CuAs2O8 | the Alexandria database | GGA-PBEsol | optimized geometry; values from VASP
! Uncorrected energy, eV/atom: -5.6193
! Mass density, g/cm3: 3.8
! E_form (uncorrected), eV per atom: -1.4766
&SYSTEM
  ibrav = 0, nat = 15, ntyp = 4
/
ATOMIC_SPECIES
Na 22.99 Na.upf
Cu 63.55 Cu.upf
As 74.92 As.upf
O 16.00 O.upf
ATOMIC_POSITIONS angstrom
Na 0.358 1.369 0.546
Na 0.392 2.515 4.585
Na 2.741 2.102 2.285
Na 2.775 3.249 6.324
Cu -0.047 -0.525 3.435
As 0.614 4.318 1.610
As 2.519 0.299 5.260
O 0.801 0.046 5.088
O 0.195 2.844 2.361
O 0.246 3.098 6.812
O 1.435 0.011 2.312
O 1.698 4.606 4.558
O 2.887 1.519 0.058
O 2.938 1.773 4.509
O 2.332 4.571 1.782
CELL_PARAMETERS angstrom
4.859 0.000 0.000
-1.633 5.668 0.000
-0.093 -1.051 6.870

=====

! Cs3SnCl | the Alexandria database | GGA-PBEsol | optimized geometry; values from VASP
! Uncorrected energy, eV/atom: -2.4903
! Mass density, g/cm3: 3.4
! E_form (uncorrected), eV per atom: -0.6713
&SYSTEM
  ibrav = 0, nat = 5, ntyp = 3
/
ATOMIC_SPECIES
Cs 132.91 Cs.upf
Sn 118.71 Sn.upf
Cl 35.45 Cl.upf
ATOMIC_POSITIONS angstrom
Cs 0.000 0.000 3.232
Cs 0.000 3.232 0.000
Cs 3.232 0.000 0.000
Sn 3.232 3.232 3.232
Cl 0.000 0.000 0.000
CELL_PARAMETERS angstrom
6.465 0.000 0.000
0.000 6.465 0.000
0.000 0.000 6.465

=====

! ZrTeH3 | the Alexandria database | GGA-PBEsol | optimized geometry; values from VASP
! Uncorrected energy, eV/atom: -4.5495
! Mass density, g/cm3: 6.4
&SYSTEM
  ibrav = 0, nat = 5, ntyp = 3
/
ATOMIC_SPECIES
Zr 91.22 Zr.upf
Te 127.60 Te.upf
H 1.01 H.upf
ATOMIC_POSITIONS angstrom
Zr 0.000 0.000 0.000
Te 1.932 1.932 1.932
H 0.000 0.000 1.932
H 0.000 1.932 0.000
H 1.932 0.000 0.000
CELL_PARAMETERS angstrom
3.865 0.000 0.000
0.000 3.865 0.000
0.000 0.000 3.865

=====

! Tc2RuRh | the Alexandria database | GGA-PBEsol | optimized geometry; values from VASP
! Uncorrected energy, eV/atom: -10.3584
! Mass density, g/cm3: 12.3
&SYSTEM
  ibrav = 0, nat = 4, ntyp = 3
/
ATOMIC_SPECIES
Tc 98.00 Tc.upf
Ru 101.07 Ru.upf
Rh 102.91 Rh.upf
ATOMIC_POSITIONS angstrom
Tc 0.000 0.000 0.000
Tc 0.000 2.142 1.547
Ru 1.347 0.000 2.327
Rh 1.347 2.142 3.924
CELL_PARAMETERS angstrom
2.693 0.000 0.000
0.000 4.284 0.000
0.000 0.000 4.699

=====

! Fe3P | the Alexandria database | GGA-PBEsol | optimized geometry; values from VASP
! Uncorrected energy, eV/atom: -8.4096
! Mass density, g/cm3: 8.1
&SYSTEM
  ibrav = 0, nat = 8, ntyp = 2
/
ATOMIC_SPECIES
Fe 55.84 Fe.upf
P 30.97 P.upf
ATOMIC_POSITIONS angstrom
Fe 0.000 0.000 0.000
Fe 0.000 1.935 1.798
Fe 0.000 1.935 6.050
Fe 1.346 0.000 2.126
Fe 1.346 0.000 5.722
Fe 1.346 1.935 3.924
P 0.000 0.000 3.924
P 1.346 1.935 0.000
CELL_PARAMETERS angstrom
2.692 0.000 0.000
0.000 3.870 0.000
0.000 0.000 7.848

=====

! SrSi2Pt2 | the Alexandria database | GGA-PBEsol | optimized geometry; values from VASP
! Uncorrected energy, eV/atom: -6.3550
! Mass density, g/cm3: 9.6
! E_form (uncorrected), eV per atom: -0.9028
&SYSTEM
  ibrav = 0, nat = 10, ntyp = 3
/
ATOMIC_SPECIES
Sr 87.62 Sr.upf
Si 28.09 Si.upf
Pt 195.08 Pt.upf
ATOMIC_POSITIONS angstrom
Sr 0.000 0.000 0.000
Sr 2.150 2.150 5.009
Si 0.000 2.150 2.504
Si 0.000 2.150 7.513
Si 2.150 0.000 2.504
Si 2.150 0.000 7.513
Pt 0.000 0.000 3.620
Pt 0.000 0.000 6.398
Pt 2.150 2.150 1.389
Pt 2.150 2.150 8.628
CELL_PARAMETERS angstrom
4.300 0.000 0.000
0.000 4.300 0.000
0.000 0.000 10.017

=====

! BaRe2Ge2 | the Alexandria database | GGA-PBEsol | optimized geometry; values from VASP
! Uncorrected energy, eV/atom: -7.5752
! Mass density, g/cm3: 10.5
&SYSTEM
  ibrav = 0, nat = 10, ntyp = 3
/
ATOMIC_SPECIES
Ba 137.33 Ba.upf
Re 186.21 Re.upf
Ge 72.64 Ge.upf
ATOMIC_POSITIONS angstrom
Ba 0.000 0.000 0.000
Ba 2.328 2.328 4.768
Re 0.000 0.000 3.614
Re 0.000 0.000 5.922
Re 2.328 2.328 1.154
Re 2.328 2.328 8.382
Ge 0.000 2.328 2.384
Ge 0.000 2.328 7.152
Ge 2.328 0.000 2.384
Ge 2.328 0.000 7.152
CELL_PARAMETERS angstrom
4.657 0.000 0.000
0.000 4.657 0.000
0.000 0.000 9.536

=====

! Si2SbW | the Alexandria database | GGA-PBEsol | optimized geometry; values from VASP
! Uncorrected energy, eV/atom: -7.1848
! Mass density, g/cm3: 8.3
! E_form (uncorrected), eV per atom: 0.2798
&SYSTEM
  ibrav = 0, nat = 4, ntyp = 3
/
ATOMIC_SPECIES
Si 28.09 Si.upf
Sb 121.76 Sb.upf
W 183.84 W.upf
ATOMIC_POSITIONS angstrom
Si 0.000 0.000 0.000
Si 1.572 1.572 1.350
Sb 1.572 1.572 4.538
W 0.000 0.000 2.605
CELL_PARAMETERS angstrom
3.144 0.000 0.000
0.000 3.144 0.000
0.000 0.000 7.294

=====

! Al2SbCl | the Alexandria database | GGA-PBEsol | optimized geometry; values from VASP
! Uncorrected energy, eV/atom: -3.8296
! Mass density, g/cm3: 4.1
! E_form (uncorrected), eV per atom: -0.1426
&SYSTEM
  ibrav = 0, nat = 8, ntyp = 3
/
ATOMIC_SPECIES
Al 26.98 Al.upf
Sb 121.76 Sb.upf
Cl 35.45 Cl.upf
ATOMIC_POSITIONS angstrom
Al 0.000 0.000 0.000
Al 0.000 2.273 3.618
Al 1.580 0.000 9.546
Al 1.580 2.273 5.928
Sb 0.000 0.000 7.073
Sb 1.580 2.273 1.145
Cl 0.000 2.273 9.653
Cl 1.580 0.000 3.725
CELL_PARAMETERS angstrom
3.161 0.000 0.000
0.000 4.547 0.000
0.000 0.000 11.856

=====

! Fe2Rh3 | the Alexandria database | GGA-PBEsol | optimized geometry; values from VASP
! Uncorrected energy, eV/atom: -8.4287
! Mass density, g/cm3: 11.1
&SYSTEM
  ibrav = 0, nat = 10, ntyp = 2
/
ATOMIC_SPECIES
Fe 55.84 Fe.upf
Rh 102.91 Rh.upf
ATOMIC_POSITIONS angstrom
Fe 0.000 0.000 2.626
Fe 0.000 0.000 10.425
Fe 1.321 1.829 3.900
Fe 1.321 1.829 9.151
Rh 0.000 0.000 0.000
Rh 0.000 0.000 5.134
Rh 0.000 0.000 7.917
Rh 1.321 1.829 1.392
Rh 1.321 1.829 6.525
Rh 1.321 1.829 11.659
CELL_PARAMETERS angstrom
2.641 0.000 0.000
0.000 3.658 0.000
0.000 0.000 13.051

=====

! Cd3Au | the Alexandria database | GGA-PBEsol | optimized geometry; values from VASP
! Uncorrected energy, eV/atom: -1.9668
! Mass density, g/cm3: 11.4
&SYSTEM
  ibrav = 0, nat = 4, ntyp = 2
/
ATOMIC_SPECIES
Cd 112.41 Cd.upf
Au 196.97 Au.upf
ATOMIC_POSITIONS angstrom
Cd 0.000 0.000 0.000
Cd 1.740 1.895 1.523
Cd 1.740 1.895 4.377
Au 0.000 0.000 2.950
CELL_PARAMETERS angstrom
3.481 0.000 0.000
0.000 3.790 0.000
0.000 0.000 5.901

=====

! RbCrPCl2 | the Alexandria database | GGA-PBEsol | optimized geometry; values from VASP
! Uncorrected energy, eV/atom: -3.3259
! Mass density, g/cm3: 1.9
! E_form (uncorrected), eV per atom: 0.8889
&SYSTEM
  ibrav = 0, nat = 5, ntyp = 4
/
ATOMIC_SPECIES
Rb 85.47 Rb.upf
Cr 52.00 Cr.upf
P 30.97 P.upf
Cl 35.45 Cl.upf
ATOMIC_POSITIONS angstrom
Rb 0.000 0.000 0.000
Cr 2.973 2.973 2.985
P 0.000 0.000 2.985
Cl 0.000 2.973 0.000
Cl 2.973 0.000 0.000
CELL_PARAMETERS angstrom
5.947 0.000 0.000
0.000 5.947 0.000
0.000 0.000 5.970

=====

! Mg2CuP | the Alexandria database | GGA-PBEsol | optimized geometry; values from VASP
! Uncorrected energy, eV/atom: -3.7517
! Mass density, g/cm3: 3.6
&SYSTEM
  ibrav = 0, nat = 8, ntyp = 3
/
ATOMIC_SPECIES
Mg 24.30 Mg.upf
Cu 63.55 Cu.upf
P 30.97 P.upf
ATOMIC_POSITIONS angstrom
Mg 0.000 0.000 0.000
Mg 0.000 1.873 4.657
Mg 1.893 0.000 2.736
Mg 1.893 1.873 7.393
Cu 0.000 0.000 6.658
Cu 0.000 1.873 2.001
P 1.893 0.000 5.385
P 1.893 1.873 0.728
CELL_PARAMETERS angstrom
3.787 0.000 0.000
0.000 3.747 0.000
0.000 0.000 9.314

=====

! LiMgCd2 | the Alexandria database | GGA-PBEsol | optimized geometry; values from VASP
! Uncorrected energy, eV/atom: -1.6908
! Mass density, g/cm3: 5.6
&SYSTEM
  ibrav = 0, nat = 8, ntyp = 3
/
ATOMIC_SPECIES
Li 6.94 Li.upf
Mg 24.30 Mg.upf
Cd 112.41 Cd.upf
ATOMIC_POSITIONS angstrom
Li 0.000 0.000 0.000
Li 1.750 2.344 4.651
Mg 0.000 2.344 7.035
Mg 1.750 0.000 2.385
Cd 0.000 0.000 4.768
Cd 0.000 2.344 2.474
Cd 1.750 0.000 7.124
Cd 1.750 2.344 0.117
CELL_PARAMETERS angstrom
3.500 0.000 0.000
0.000 4.688 0.000
0.000 0.000 9.301

=====

! TaPOs2 | the Alexandria database | GGA-PBEsol | optimized geometry; values from VASP
! Uncorrected energy, eV/atom: -10.9271
! Mass density, g/cm3: 17.5
&SYSTEM
  ibrav = 0, nat = 4, ntyp = 3
/
ATOMIC_SPECIES
Ta 180.95 Ta.upf
P 30.97 P.upf
Os 190.23 Os.upf
ATOMIC_POSITIONS angstrom
Ta 0.000 0.000 0.000
P 0.000 0.000 3.410
Os 1.434 1.434 1.987
Os 1.434 1.434 4.833
CELL_PARAMETERS angstrom
2.868 0.000 0.000
0.000 2.868 0.000
0.000 0.000 6.820

=====

! Li3B2SbO6 | the Alexandria database | GGA-PBEsol | optimized geometry; values from VASP
! Uncorrected energy, eV/atom: -6.7627
! Mass density, g/cm3: 3.3
! E_form (uncorrected), eV per atom: -2.0972
&SYSTEM
  ibrav = 0, nat = 24, ntyp = 4
/
ATOMIC_SPECIES
Li 6.94 Li.upf
B 10.81 B.upf
Sb 121.76 Sb.upf
O 16.00 O.upf
ATOMIC_POSITIONS angstrom
Li 1.188 2.397 1.036
Li 1.835 6.633 5.658
Li 1.997 4.602 3.237
Li 4.099 6.208 4.152
Li 4.261 4.177 1.731
Li 4.907 8.412 6.353
B 1.649 7.399 2.966
B 1.966 4.908 0.473
B 4.129 5.902 6.915
B 4.446 3.411 4.423
Sb 1.976 3.050 6.183
Sb 4.119 7.760 1.205
O 1.023 3.279 4.433
O 1.303 4.256 1.447
O 2.025 8.519 6.567
O 2.235 6.538 3.796
O 2.335 8.213 2.035
O 2.856 5.393 6.781
O 3.239 5.417 0.607
O 3.761 2.596 5.354
O 3.860 4.272 3.592
O 4.070 2.291 0.822
O 4.793 6.553 5.941
O 5.073 7.531 2.955
CELL_PARAMETERS angstrom
4.834 0.000 0.000
0.598 7.437 0.000
0.663 3.373 7.388

=====

! Li8HfO6 | the Alexandria database | GGA-PBEsol | optimized geometry; values from VASP
! Uncorrected energy, eV/atom: -6.0327
! Mass density, g/cm3: 3.7
! E_form (uncorrected), eV per atom: -2.1839
&SYSTEM
  ibrav = 0, nat = 30, ntyp = 3
/
ATOMIC_SPECIES
Li 6.94 Li.upf
Hf 178.49 Hf.upf
O 16.00 O.upf
ATOMIC_POSITIONS angstrom
Li -0.891 1.544 0.000
Li -1.175 2.035 6.912
Li -1.641 2.843 1.537
Li -1.925 3.334 5.375
Li 1.782 0.000 0.000
Li 0.891 1.544 5.375
Li 0.000 3.252 3.912
Li 0.000 3.252 9.287
Li 2.350 0.000 6.912
Li 1.175 2.035 1.537
Li 3.282 0.000 1.537
Li 1.641 2.843 6.912
Li 2.816 1.626 3.912
Li 2.816 1.626 9.287
Li 3.850 0.000 5.375
Li 1.925 3.334 0.000
Hf 0.000 0.000 2.919
Hf 0.000 0.000 8.293
O 0.000 0.000 0.957
O 0.000 0.000 6.332
O -0.932 1.615 8.812
O -1.884 3.263 3.437
O 1.865 0.000 8.812
O 0.932 1.615 3.437
O 0.000 3.252 0.595
O 0.000 3.252 5.969
O 2.816 1.626 0.595
O 2.816 1.626 5.969
O 3.768 0.000 3.437
O 1.884 3.263 8.812
CELL_PARAMETERS angstrom
5.632 0.000 0.000
-2.816 4.878 0.000
0.000 0.000 10.749